(1)
Crystalline MnTcRh at its relaxed geometry, computed with PBE-GGA.

Structure (CIF):
```
data_MnTcRh
_space_group_name_H-M_alt 'P 1'
_space_group_IT_number 1
_cell_length_a 4.2139
_cell_length_b 4.2139
_cell_length_c 2.6539
_cell_angle_alpha 90.00
_cell_angle_beta 90.00
_cell_angle_gamma 120.00
loop_
_space_group_symop_operation_xyz
'x,y,z'
loop_
_atom_site_label
_atom_site_type_symbol
_atom_site_fract_x
_atom_site_fract_y
_atom_site_fract_z
Mn1 Mn 0.0000 0.0000 0.0000
Tc1 Tc 0.6667 0.3333 0.0000
Rh1 Rh 0.3333 0.6667 0.5000
```

## Properties
**Formation energy**: 0.049 eV/atom
**Space group**: P-6m2 (187)



(2)
Crystalline Mn3TcRh at its relaxed geometry, computed with PBE-GGA.

Structure (CIF):
```
data_Mn3TcRh
_space_group_name_H-M_alt 'P 1'
_space_group_IT_number 1
_cell_length_a 4.3315
_cell_length_b 4.3315
_cell_length_c 4.3315
_cell_angle_alpha 90.00
_cell_angle_beta 90.00
_cell_angle_gamma 90.00
loop_
_space_group_symop_operation_xyz
'x,y,z'
loop_
_atom_site_label
_atom_site_type_symbol
_atom_site_fract_x
_atom_site_fract_y
_atom_site_fract_z
Mn1 Mn 0.0000 0.0000 0.5000
Mn2 Mn 0.0000 0.5000 0.0000
Mn3 Mn 0.5000 0.0000 0.0000
Tc1 Tc 0.0000 0.0000 0.0000
Rh1 Rh 0.5000 0.5000 0.5000
```

## Properties
**Formation energy**: 1.620 eV/atom
**Space group**: Pm-3m (221)



(3)
Crystalline Mn2TcRh at its relaxed geometry, computed with PBE-GGA.

Structure (CIF):
```
data_Mn2TcRh
_space_group_name_H-M_alt 'P 1'
_space_group_IT_number 1
_cell_length_a 2.6518
_cell_length_b 2.6518
_cell_length_c 7.3675
_cell_angle_alpha 90.00
_cell_angle_beta 90.00
_cell_angle_gamma 90.00
loop_
_space_group_symop_operation_xyz
'x,y,z'
loop_
_atom_site_label
_atom_site_type_symbol
_atom_site_fract_x
_atom_site_fract_y
_atom_site_fract_z
Mn1 Mn 0.0000 0.0000 0.2480
Mn2 Mn 0.0000 0.0000 0.7520
Tc1 Tc 0.5000 0.5000 0.5000
Rh1 Rh 0.5000 0.5000 0.0000
```

## Properties
**Formation energy**: 0.062 eV/atom
**Space group**: P4/mmm (123)



(4)
Crystalline Mn2TcTeRh at its relaxed geometry, computed with PBE-GGA.

Structure (CIF):
```
data_Mn2TcTeRh
_space_group_name_H-M_alt 'P 1'
_space_group_IT_number 1
_cell_length_a 4.5838
_cell_length_b 4.5838
_cell_length_c 4.9925
_cell_angle_alpha 90.00
_cell_angle_beta 90.00
_cell_angle_gamma 90.00
loop_
_space_group_symop_operation_xyz
'x,y,z'
loop_
_atom_site_label
_atom_site_type_symbol
_atom_site_fract_x
_atom_site_fract_y
_atom_site_fract_z
Mn1 Mn 0.0000 0.5000 0.0000
Mn2 Mn 0.5000 0.0000 0.0000
Tc1 Tc 0.0000 0.0000 0.0000
Te1 Te 0.0000 0.0000 0.5000
Rh1 Rh 0.5000 0.5000 0.5000
```

## Properties
**ΔE_f (raw)**: 1.1294 eV/atom
**Space group**: P4/mmm (123)



Number 1 is which compound?
MnTcRh